Below is an optimized crystal structure of Y3HgN, with properties calculated at the PBE-GGA level.

a b c (Å): 5.879 5.879 5.879
angles (deg): 110.43 110.43 110.43
Site moments in Bohr magnetons follow the coordinates.
Atoms (fractional coordinates):
1 Y 0.033 0.674 0.033  0.21
2 Y 0.674 0.033 0.033  0.20
3 Y 0.033 0.033 0.674  0.19
4 N 0.776 0.776 0.776  0.00
5 Hg 0.360 0.360 0.360  0.02

Properties
Its uncorrected formation energy is -0.21 eV per atom. The uncorrected energy is -5.81 eV per atom. For the calculated density, the calculation gives 5.3 g cm⁻³. As for the total magnetization: 1.245 μB/f.u.